# Pm5PrErTm2 | the Alexandria database | GGA-PBE | optimized geometry
# Energy of formation = 149 meV per atom
# Magnetization = 0.000 μB per formula unit
data_Pm5PrErTm2
_space_group_name_H-M_alt 'P 1'
_space_group_IT_number 1
_space_group_name_Hall 'P 1'
_cell_length_a 10.514
_cell_length_b 10.514
_cell_length_c 10.759
_cell_angle_alpha 90.00
_cell_angle_beta 90.00
_cell_angle_gamma 148.93
loop_
_atom_site_label
_atom_site_type_symbol
_atom_site_fract_x
_atom_site_fract_y
_atom_site_fract_z
Pm1 Pm 0.017 0.983 0.500
Pm2 Pm 0.282 0.718 0.784
Pm3 Pm 0.298 0.702 0.181
Pm4 Pm 0.392 0.608 0.502
Pm5 Pm 0.480 0.520 0.219
Pm6 Pm 0.520 0.480 0.719
Pm7 Pm 0.608 0.392 0.002
Pm8 Pm 0.702 0.298 0.681
Pm9 Pm 0.718 0.282 0.284
Pm10 Pm 0.983 0.017 0.000
Pr1 Pr 0.202 0.798 0.486
Pr2 Pr 0.798 0.202 0.986
Er1 Er 0.411 0.589 0.935
Er2 Er 0.589 0.411 0.435
Tm1 Tm 0.109 0.891 0.216
Tm2 Tm 0.116 0.884 0.793
Tm3 Tm 0.884 0.116 0.293
Tm4 Tm 0.891 0.109 0.716